1.
First-principles (PBE) data for a relaxed Dy5Ge2S2 crystal, as listed in the Alexandria database.

The space group is Cmce, No. 64. As for the energy: -5.7232 eV per atom. For the density of states at the Fermi level, the calculation gives 10.94 states/eV per cell.

Cell lengths 8.026, 8.026, 7.617 Å; angles 90.00, 90.00, 55.59 degrees
Sites, in units of the cell vectors:
1 Dy 0.000 0.000 0.000
2 Dy 0.028 0.691 0.658
3 Dy 0.191 0.528 0.158
4 Dy 0.309 0.972 0.658
5 Dy 0.472 0.809 0.158
6 Dy 0.500 0.500 0.500
7 Dy 0.528 0.191 0.842
8 Dy 0.691 0.028 0.342
9 Dy 0.809 0.472 0.842
10 Dy 0.972 0.309 0.342
11 Ge 0.134 0.866 0.365
12 Ge 0.366 0.634 0.865
13 Ge 0.634 0.366 0.135
14 Ge 0.866 0.134 0.635
15 S 0.196 0.196 0.000
16 S 0.304 0.304 0.500
17 S 0.696 0.696 0.500
18 S 0.804 0.804 0.000

***

2.
First-principles (PBE) data for a relaxed Dy2GeS crystal, as listed in the Alexandria database.

As for the polymorph energy (0 for the lowest one): 0.042 eV per atom. The space group is R-3m, No. 166. For the density of states at the Fermi level, the calculation gives 1.43 states/eV per cell.

Cell lengths 7.032, 7.032, 7.032 Å; angles 33.38, 33.38, 33.38 degrees
Sites, in units of the cell vectors:
1 Dy 0.250 0.250 0.250
2 Dy 0.750 0.750 0.750
3 Ge 0.000 0.000 0.000
4 S 0.500 0.500 0.500

***

3.
First-principles (PBE) data for a relaxed Dy3Ge2S crystal, as listed in the Alexandria database.

The space group is Immm, No. 71. As for the energy: -5.7510 eV per atom. For the density of states at the Fermi level, the calculation gives 2.95 states/eV per cell.

Cell lengths 7.121, 7.121, 7.121 Å; angles 147.31, 132.19, 59.12 degrees
Sites, in units of the cell vectors:
1 Dy 0.000 0.000 0.000
2 Dy 0.339 0.339 0.000
3 Dy 0.661 0.661 0.000
4 Ge 0.166 0.666 0.500
5 Ge 0.834 0.334 0.500
6 S 0.500 0.000 0.500